Entry from Alexandria: a geometry-optimized SrZn2NiAu structure (PBE).

```
SrZn2NiAu
1.0
4.6177 0.0000 0.0000
0.0000 4.6177 0.0000
0.0000 0.0000 5.0880
Sr Zn Ni Au
1 2 1 1
Direct
0.0000 0.0000 0.0000
0.0000 0.5000 0.5000
0.5000 0.0000 0.5000
0.5000 0.5000 0.5000
0.5000 0.5000 0.0000
```

Summary:
Total magnetic moment   0.000 μB/atom
E   -2.9103 eV/atom
Energy of formation   -0.2526 eV per atom